# 1
Crystalline CaAcPm2Nd6 at its relaxed geometry, computed with PBE-GGA.

Properties
Mass density = 6.37 g/cm3
Total magnetization = 0.0 μB/f.u.
Density of states at the Fermi level = 14.7 states/eV/f.u.
V = 37.1 Å³/atom
DFT total energy = -4.297 eV per atom

a = 10.072 Å, b = 9.205 Å, c = 9.205 Å
α = 118.96°, β = 93.53°, γ = 93.53°
Positions (direct):
Nd  0.552  0.755  0.122
Nd  0.620  0.498  0.712
Pm  0.543  0.200  0.310
Nd  0.880  0.288  0.502
Pm  0.457  0.800  0.690
Pm  0.957  0.690  0.800
Ac  0.750  0.025  0.975
Nd  0.323  0.970  0.436
Nd  0.948  0.878  0.245
Nd  0.120  0.712  0.498
Nd  0.677  0.030  0.564
Ac  0.250  0.975  0.025
Ca  0.250  0.404  0.596
Ca  0.750  0.596  0.404
Nd  0.052  0.122  0.755
Nd  0.177  0.564  0.030
Pm  0.043  0.310  0.200
Nd  0.380  0.502  0.288
Nd  0.823  0.436  0.970
Nd  0.448  0.245  0.878

=====

# 2
Crystalline PaSeICl at its relaxed geometry, computed with PBE-GGA.

Properties
Mass density = 5.40 g/cm3
Total magnetization = 1.0 μB/f.u.
Density of states at the Fermi level = 6.8 states/eV/f.u.
V = 36.3 Å³/atom
DFT total energy = -5.237 eV per atom

a = 4.762 Å, b = 4.762 Å, c = 7.895 Å
α = 72.45°, β = 72.45°, γ = 60.01°
Site moments in Bohr magnetons follow the coordinates.
Positions (direct):
Pa  0.119  0.404  0.357  1.06
Cl  0.512  0.796  0.180  -0.02
I  0.986  0.271  0.757  -0.03
Se  0.761  0.046  0.433  -0.05

=====

# 3
Crystalline Pr3SnSbCl at its relaxed geometry, computed with PBE-GGA.

Properties
Mass density = 5.84 g/cm3
Total magnetization = 0.0 μB/f.u.
Density of states at the Fermi level = 4.2 states/eV/f.u.
V = 33.1 Å³/atom
DFT total energy = -5.087 eV per atom

a = 4.518 Å, b = 9.147 Å, c = 9.869 Å
α = 103.01°, β = 90.00°, γ = 90.00°
Positions (direct):
Sb  0.250  0.659  0.168
Pr  0.250  0.764  0.509
Pr  0.750  0.412  0.159
Pr  0.750  0.236  0.491
Pr  0.250  0.588  0.841
Cl  0.750  0.906  0.417
Pr  0.250  0.098  0.871
Sn  0.250  0.177  0.221
Sn  0.750  0.823  0.779
Cl  0.250  0.094  0.583
Sb  0.750  0.341  0.832
Pr  0.750  0.902  0.129

=====

# 4
Crystalline K2ScAgF6 at its relaxed geometry, computed with PBE-GGA.

Properties
Mass density = 3.25 g/cm3
Total magnetization = 0.1 μB/f.u.
Density of states at the Fermi level = 0.0 states/eV/f.u.
V = 17.6 Å³/atom
DFT total energy = -5.187 eV per atom

a = 6.161 Å, b = 6.417 Å, c = 8.912 Å
α = 90.00°, β = 90.00°, γ = 90.00°
Site moments in Bohr magnetons follow the coordinates.
Positions (direct):
F  0.500  0.218  0.727  0.00
F  0.500  0.218  0.273  0.00
Sc  0.500  0.231  0.500  0.00
F  0.240  0.555  0.000  0.00
K  0.500  0.780  0.763  0.00
Ag  0.500  0.275  0.000  0.06
F  0.769  0.997  0.000  0.00
F  0.731  0.003  0.500  0.00
F  0.000  0.782  0.227  0.00
F  0.760  0.555  0.000  0.00
F  0.000  0.782  0.773  0.00
F  0.231  0.997  0.000  0.00
Sc  0.000  0.769  0.000  0.00
K  0.000  0.220  0.263  0.00
F  0.260  0.445  0.500  0.00
Ag  0.000  0.725  0.500  0.06
F  0.740  0.445  0.500  0.00
K  0.500  0.780  0.237  0.00
K  0.000  0.220  0.737  0.00
F  0.269  0.003  0.500  0.00

=====

# 5
Crystalline NaPm2Ag6 at its relaxed geometry, computed with PBE-GGA.

Properties
Mass density = 7.74 g/cm3
Total magnetization = 0.0 μB/f.u.
Density of states at the Fermi level = 5.2 states/eV/f.u.
V = 22.9 Å³/atom
DFT total energy = -3.253 eV per atom

a = 3.333 Å, b = 8.449 Å, c = 8.449 Å
α = 60.00°, β = 89.97°, γ = 89.97°
Positions (direct):
Pm  0.000  0.333  0.333
Ag  0.501  0.332  0.000
Ag  0.499  0.000  0.668
Ag  0.499  0.668  0.000
Pm  0.000  0.667  0.667
Na  0.000  0.000  0.000
Ag  0.500  0.332  0.668
Ag  0.500  0.668  0.332
Ag  0.501  0.000  0.332

=====

# 6
Crystalline La2NdTm2 at its relaxed geometry, computed with PBE-GGA.

Properties
Mass density = 6.92 g/cm3
E above lowest polymorph = 8.00 kcal/mol of atoms
Total magnetization = 0.0 μB/f.u.
Density of states at the Fermi level = 8.8 states/eV/f.u.
V = 36.5 Å³/atom
DFT total energy = -4.257 eV per atom

a = 10.713 Å, b = 10.713 Å, c = 8.215 Å
α = 130.69°, β = 130.69°, γ = 90.00°
Positions (direct):
La  0.609  0.891  0.000
Nd  0.750  0.750  0.500
La  0.891  0.391  0.000
Nd  0.250  0.250  0.500
Tm  0.190  0.310  0.000
Tm  0.690  0.190  0.000
La  0.109  0.609  0.000
Tm  0.310  0.810  0.000
Tm  0.810  0.690  0.000
La  0.391  0.109  0.000

=====

# 7
Crystalline LaRe3Cl at its relaxed geometry, computed with PBE-GGA.

Properties
Mass density = 12.99 g/cm3
E above lowest polymorph = 0.00 kcal/mol of atoms
Total magnetization = 0.3 μB/f.u.
Density of states at the Fermi level = 7.6 states/eV/f.u.
V = 18.7 Å³/atom
DFT total energy = -7.469 eV per atom

a = 4.542 Å, b = 4.542 Å, c = 4.542 Å
α = 90.00°, β = 90.00°, γ = 90.00°
Site moments in Bohr magnetons follow the coordinates.
Positions (direct):
La  0.500  0.500  0.500  0.01
Re  0.500  0.000  0.000  0.07
Re  0.000  0.500  0.000  0.14
Re  0.000  0.000  0.500  0.05
Cl  0.000  0.000  0.000  -0.01

=====

# 8
Crystalline Mg5In2Ga at its relaxed geometry, computed with PBE-GGA.

Properties
Mass density = 3.60 g/cm3
E above lowest polymorph = 1.09 kcal/mol of atoms
Total magnetization = 0.0 μB/f.u.
Density of states at the Fermi level = 2.5 states/eV/f.u.
V = 24.2 Å³/atom
DFT total energy = -2.092 eV per atom

a = 4.849 Å, b = 4.849 Å, c = 19.054 Å
α = 90.00°, β = 90.00°, γ = 120.00°
Positions (direct):
Mg  0.333  0.667  0.946
In  0.333  0.667  0.102
Mg  0.667  0.333  0.250
Mg  0.667  0.333  0.446
Mg  0.000  0.000  0.164
In  0.667  0.333  0.602
In  0.667  0.333  0.898
Mg  0.667  0.333  0.054
Mg  0.000  0.000  0.336
Mg  0.000  0.000  0.664
Mg  0.000  0.000  0.836
Mg  0.333  0.667  0.750
Ga  0.333  0.667  0.250
Mg  0.333  0.667  0.554
Ga  0.667  0.333  0.750
In  0.333  0.667  0.398

=====

# 9
Crystalline CaSc3H at its relaxed geometry, computed with PBE-GGA.

Properties
Mass density = 1.96 g/cm3
E above lowest polymorph = 38.84 kcal/mol of atoms
Total magnetization = 0.0 μB/f.u.
Density of states at the Fermi level = 5.4 states/eV/f.u.
V = 29.8 Å³/atom
DFT total energy = -3.158 eV per atom

a = 5.301 Å, b = 5.301 Å, c = 5.301 Å
α = 90.00°, β = 90.00°, γ = 90.00°
Positions (direct):
H  0.500  0.500  0.500
Sc  0.500  0.000  0.000
Ca  0.000  0.000  0.000
Sc  0.000  0.000  0.500
Sc  0.000  0.500  0.000

=====

# 10
Crystalline MgCoMo2 at its relaxed geometry, computed with PBE-GGA.

Properties
Mass density = 7.66 g/cm3
Total magnetization = 1.4 μB/f.u.
Density of states at the Fermi level = 4.2 states/eV/f.u.
V = 14.9 Å³/atom
DFT total energy = -7.039 eV per atom

a = 4.704 Å, b = 4.704 Å, c = 2.694 Å
α = 90.00°, β = 90.00°, γ = 90.00°
Site moments in Bohr magnetons follow the coordinates.
Positions (direct):
Mo  0.500  0.500  0.000  0.08
Mg  0.000  0.500  0.500  0.01
Mo  0.000  0.000  0.000  0.08
Co  0.500  0.000  0.500  1.21

=====

# 11
Crystalline Cu2HgMo at its relaxed geometry, computed with PBE-GGA.

Properties
Mass density = 11.45 g/cm3
Total magnetization = 0.0 μB/f.u.
Density of states at the Fermi level = 2.4 states/eV/f.u.
V = 15.4 Å³/atom
DFT total energy = -4.544 eV per atom

a = 2.811 Å, b = 2.811 Å, c = 7.777 Å
α = 90.00°, β = 90.00°, γ = 89.97°
Positions (direct):
Mo  0.500  0.500  0.750
Cu  0.000  0.000  0.985
Cu  0.000  0.000  0.515
Hg  0.500  0.500  0.250

=====

# 12
Crystalline Na2Sr3Au at its relaxed geometry, computed with PBE-GGA.

Properties
Mass density = 3.26 g/cm3
Total magnetization = 0.0 μB/f.u.
Density of states at the Fermi level = 3.8 states/eV/f.u.
V = 43.0 Å³/atom
DFT total energy = -2.096 eV per atom

a = 6.204 Å, b = 8.716 Å, c = 10.032 Å
α = 90.05°, β = 108.01°, γ = 90.00°
Positions (direct):
Sr  0.882  0.500  0.765
Sr  0.499  0.750  0.000
Au  0.001  0.250  0.000
Sr  0.501  0.250  0.000
Na  0.702  0.249  0.404
Sr  0.118  0.000  0.235
Na  0.298  0.751  0.596
Sr  0.118  0.500  0.235
Na  0.702  0.749  0.404
Sr  0.882  0.000  0.765
Na  0.298  0.251  0.596
Au  0.999  0.750  0.000